# 1
A geometry-optimized BeNi4Ag structure. Source: Alexandria, functional GGA-PBE.

Properties
ρ in g cm⁻³: 7.99
ΔH_f (0 K) in eV per atom: 0.204
E in eV/atom: -4.746
Symmetry: F-43m, No. 216

Structure (POSCAR):
```
BeNi4Ag
1.0
0.0000 3.3183 3.3183
3.3183 0.0000 3.3183
3.3183 3.3183 0.0000
Be Ni Ag
1 4 1
Direct
0.0000 0.0000 0.0000
0.3745 0.3745 0.8766
0.8766 0.3745 0.3745
0.3745 0.3745 0.3745
0.3745 0.8766 0.3745
0.7500 0.7500 0.7500
```

---

# 2
A geometry-optimized NaCdSn2 structure. Source: Alexandria, functional GGA-PBE.

Properties
ρ in g cm⁻³: 3.76
ΔH_f (0 K) in eV per atom: 0.162
E in eV/atom: -2.398
Symmetry: R-3m, No. 166

Structure (POSCAR):
```
NaCdSn2
1.0
-4.0390 -2.6735 -0.6427
-2.3513 -1.8422 3.8667
-6.5639 5.0862 1.5189
Sn Cd Na
2 1 1
Direct
0.1292 0.1292 0.6125
0.8708 0.8708 0.3875
0.5000 0.5000 0.5000
0.0000 0.0000 0.0000
```

---

# 3
A geometry-optimized Dy2NpIn9 structure. Source: Alexandria, functional GGA-PBE.

Properties
ρ in g cm⁻³: 8.87
ΔH_f (0 K) in eV per atom: -0.279
E in eV/atom: -4.178
Symmetry: P4/mmm, No. 123

Structure (POSCAR):
```
Dy2NpIn9
1.0
-1.1687 3.0109 -3.3164
-3.4698 -2.7761 -1.2977
-8.5282 6.4971 8.9039
In Dy Np
9 2 1
Direct
0.5000 0.5000 0.0000
0.5000 0.0000 0.5000
0.0000 0.5000 0.8335
0.5000 0.0000 0.1665
0.5000 0.5000 0.3326
0.0000 0.5000 0.5000
0.0000 0.5000 0.1665
0.5000 0.5000 0.6674
0.5000 0.0000 0.8335
0.0000 0.0000 0.3347
0.0000 0.0000 0.6653
0.0000 0.0000 0.0000
```